[1]
# DyCoPH

A relaxed DyCoPH crystal (PBE, Alexandria via LeMat-Bulk).

VASP energy   -48.731 eV/cell
Space group   P4/nmm

a b c (Å): 3.7606 3.7606 7.3820
angles (deg): 90.00 90.00 90.00
Last column: nearest neighbours and their distance in Å.
Element x y z (fractional)
1 Co 0.0000 0.0000 0.0000  4 P 2.23
2 Co 0.5000 0.5000 0.0000  4 P 2.23
3 P 0.0000 0.5000 0.8368  4 Co 2.23
4 P 0.5000 0.0000 0.1632  4 Co 2.23
5 H 0.5000 0.5000 0.5000  4 Dy 2.28
6 H 0.0000 0.0000 0.5000  4 Dy 2.28
7 Dy 0.0000 0.5000 0.3264  4 H 2.28
8 Dy 0.5000 0.0000 0.6736  4 H 2.28

[2]
# Dy2PaCo3H12

A relaxed Dy2PaCo3H12 crystal (PBE, Alexandria via LeMat-Bulk).

VASP energy   -84.175 eV/cell
Space group   R-3m

a b c (Å): 5.9281 5.9281 5.9281
angles (deg): 62.20 62.20 62.20
Last column: nearest neighbours and their distance in Å.
Element x y z (fractional)
1 H 0.1370 0.7238 0.7238  2 Co 1.69
2 H 0.7238 0.1370 0.7238  2 Co 1.69
3 Co 0.5000 0.0000 0.0000  6 H 1.65-1.69
4 H 0.4421 0.8582 0.8582  1 Co 1.65
5 H 0.8630 0.2762 0.2762  2 Co 1.69
6 Co 0.0000 0.5000 0.0000  6 H 1.65-1.69
7 Pa 0.0000 0.0000 0.0000  12 H 2.20-2.46
8 Dy 0.3869 0.3869 0.3869  3 H 2.11
9 H 0.1418 0.5579 0.1418  1 Co 1.65
10 H 0.8582 0.4421 0.8582  1 Co 1.65
11 H 0.8582 0.8582 0.4421  1 Co 1.65
12 Co 0.0000 0.0000 0.5000  6 H 1.65-1.69
13 H 0.2762 0.8630 0.2762  2 Co 1.69
14 H 0.7238 0.7238 0.1370  2 Co 1.69
15 H 0.1418 0.1418 0.5579  1 Co 1.65
16 Dy 0.6131 0.6131 0.6131  3 H 2.11
17 H 0.5579 0.1418 0.1418  1 Co 1.65
18 H 0.2762 0.2762 0.8630  2 Co 1.69

[3]
# DyCoSiH

A relaxed DyCoSiH crystal (PBE, Alexandria via LeMat-Bulk).

VASP energy   -47.116 eV/cell
Space group   P4/nmm

a b c (Å): 3.8384 3.8384 7.3281
angles (deg): 90.00 90.00 90.00
Last column: nearest neighbours and their distance in Å.
Element x y z (fractional)
1 Co 0.5000 0.5000 0.0000  4 Si 2.27
2 H 0.0000 0.0000 0.5000  4 Dy 2.27
3 Si 0.0000 0.5000 0.8355  4 Co 2.27
4 H 0.5000 0.5000 0.5000  4 Dy 2.27
5 Dy 0.5000 0.0000 0.6645  4 H 2.27
6 Co 0.0000 0.0000 0.0000  4 Si 2.27
7 Dy 0.0000 0.5000 0.3355  4 H 2.27
8 Si 0.5000 0.0000 0.1645  4 Co 2.27

[4]
# Dy2HfCo

A relaxed Dy2HfCo crystal (PBE, Alexandria via LeMat-Bulk).

VASP energy   -24.697 eV/cell
Space group   R-3m
Energy of formation   151 kJ/mol of formula units

a b c (Å): 3.3043 3.3043 10.3172
angles (deg): 80.79 80.79 60.00
Last column: nearest neighbours and their distance in Å.
Element x y z (fractional)
1 Dy 0.1054 0.1054 0.6838  3 Co 2.67
2 Co 0.5000 0.5000 0.5000  6 Dy 2.67
3 Hf 0.0000 0.0000 0.0000  2 Dy 3.21, 6 Hf 3.30
4 Dy 0.8946 0.8946 0.3162  3 Co 2.67

[5]
# DyHfCo2

A relaxed DyHfCo2 crystal (PBE, Alexandria via LeMat-Bulk).

VASP energy   -29.923 eV/cell
ΔE to the lowest computed polymorph   0 meV per atom
Space group   P4/mmm
Energy of formation   -112 kJ/mol of formula units

a b c (Å): 3.2101 3.2101 6.5897
angles (deg): 90.00 90.00 90.00
Last column: nearest neighbours and their distance in Å.
Element x y z (fractional)
1 Hf 0.5000 0.5000 0.0000  8 Co 2.69
2 Dy 0.5000 0.5000 0.5000  8 Co 2.93, 4 Dy 3.21
3 Co 0.0000 0.0000 0.7803  4 Hf 2.69, 1 Co 2.90, 4 Dy 2.93
4 Co 0.0000 0.0000 0.2197  4 Hf 2.69, 1 Co 2.90, 4 Dy 2.93

[6]
# DyHf2Co

A relaxed DyHf2Co crystal (PBE, Alexandria via LeMat-Bulk).

VASP energy   -31.419 eV/cell
Space group   R3m
Energy of formation   19 kJ/mol of formula units

a b c (Å): 3.5049 3.5049 8.7118
angles (deg): 78.40 78.40 60.00
Last column: nearest neighbours and their distance in Å.
Element x y z (fractional)
1 Hf 0.2743 0.2743 0.1771  3 Co 2.50
2 Dy 0.5029 0.5029 0.4912  6 Hf 3.34-3.49, 6 Dy 3.50
3 Co 0.6651 0.6651 0.0047  6 Hf 2.50-2.52
4 Hf 0.0577 0.0577 0.8270  3 Co 2.52